Compound: Sb2TeIF
Source: Alexandria via LeMat-Bulk
Functional: PBE-GGA
Structure: relaxed

a = 5.8769 Å, b = 5.8769 Å, c = 5.7411 Å
α = 90.00°, β = 90.00°, γ = 90.00°
With the nearest neighbours (Å) after each atom.
Fractional positions:
I 0.0000 0.0000 0.0000  2 Te 2.87, 4 Sb 2.94
Sb 0.0000 0.5000 0.0000  2 I 2.94
Sb 0.5000 0.0000 0.0000  2 I 2.94
Te 0.0000 0.0000 0.5000  2 I 2.87
F 0.5000 0.5000 0.5000  8 Sb 4.11, 4 Te 4.16

Summary:
Formation energy without anion corrections ... 80.9 kJ per mole of atoms
N(E_F) ... 5.28 states/eV/f.u.
E above lowest polymorph ... 74.22 kJ per mole of atoms
Crystal system ... tetragonal